GaHSe | PBE | optimized geometry

Lattice parameters (Å, degrees): 6.5624 3.7950 6.0308 90.00 110.95 90.00
Last column: nearest neighbours and their distance in Å.
Space group Cm (No. 8)
One atom of each set of equivalent atoms:
Ga 0.0000 0.0000 0.0000  1 H 1.55
H 0.4094 0.5000 0.7241  1 Ga 1.55
Se 0.4009 0.0000 0.2047  3 Ga 2.47

Calculated values
Total DFT energy (no corrections), Ha/atom: -0.1331
Size of the total moment, μB per formula unit: 0.00


GaHSe3 | PBE | optimized geometry

Lattice parameters (Å, degrees): 5.0351 5.0351 5.0351 90.00 90.00 90.00
Last column: nearest neighbours and their distance in Å.
Space group Pm-3m (No. 221)
One atom of each set of equivalent atoms:
Ga 0.0000 0.0000 0.0000  6 Se 2.52
H 0.5000 0.5000 0.5000  12 Se 3.56
Se 0.0000 0.0000 0.5000  2 Ga 2.52

Calculated values
Total DFT energy (no corrections), Ha/atom: -0.0942
Size of the total moment, μB per formula unit: 1.83


GaH3Se | PBE | optimized geometry

Lattice parameters (Å, degrees): 3.8650 3.8650 3.8650 90.00 90.00 90.00
Last column: nearest neighbours and their distance in Å.
Space group Pm-3m (No. 221)
One atom of each set of equivalent atoms:
Ga 0.0000 0.0000 0.0000  12 H 2.73
H 0.0000 0.5000 0.5000  2 Se 1.93
Se 0.5000 0.5000 0.5000  6 H 1.93

Calculated values
Total DFT energy (no corrections), Ha/atom: -0.1004
Size of the total moment, μB per formula unit: 0.00


GaHSe3 | PBE | optimized geometry

Lattice parameters (Å, degrees): 4.4493 4.4493 4.4493 90.00 90.00 90.00
Last column: nearest neighbours and their distance in Å.
Space group Pm-3m (No. 221)
One atom of each set of equivalent atoms:
Ga 0.0000 0.0000 0.0000  12 Se 3.15
H 0.5000 0.5000 0.5000  6 Se 2.22
Se 0.0000 0.5000 0.5000  2 H 2.22

Calculated values
Total DFT energy (no corrections), Ha/atom: -0.1028
Size of the total moment, μB per formula unit: 0.00


GaH3Se | PBE | optimized geometry

Lattice parameters (Å, degrees): 3.7205 3.7205 3.7205 90.00 90.00 90.00
Last column: nearest neighbours and their distance in Å.
Space group Pm-3m (No. 221)
One atom of each set of equivalent atoms:
Ga 0.0000 0.0000 0.0000  6 H 1.86
H 0.0000 0.0000 0.5000  2 Ga 1.86
Se 0.5000 0.5000 0.5000  12 H 2.63

Calculated values
Total DFT energy (no corrections), Ha/atom: -0.0963
Size of the total moment, μB per formula unit: 0.00


GaHSe | PBE | optimized geometry

Lattice parameters (Å, degrees): 3.8001 6.2375 6.2617 74.18 73.46 72.31
Last column: nearest neighbours and their distance in Å.
Space group P1 (No. 1)
One atom of each set of equivalent atoms:
Ga 0.0000 0.0000 0.0000  2 H 1.54-1.71
Ga 0.2800 0.5129 0.9224  1 H 1.79
H 0.0923 0.7111 0.1112  2 Ga 1.71-1.79
H 0.0981 0.0520 0.7375  1 Ga 1.54
Se 0.3357 0.1422 0.1993  3 Ga 2.47-2.48
Se 0.8447 0.6076 0.6840  2 Ga 2.38

Calculated values
Total DFT energy (no corrections), Ha/atom: -0.1302
Size of the total moment, μB per formula unit: 0.00


Result set for calculated volume: 23.38, 25.53, 11.55, 17.62, 10.30, 22.12 Å³ per atom, one per record in the order listed.